A plane-wave DFT calculation with GGA+U was carried out for crystalline V2InPbO6 at its relaxed geometry.

Calculated values
Raw total energy, eV per atom: -6.689
Crystal system: monoclinic
Symmetry: No. 15
ρ, g/cm³: 4.9

Cell: 5.996 7.785 7.785 Å, 85.17 79.52 79.52°
Fractional coordinates of all 20 atoms:
O  0.018  0.233  0.239
O  0.171  0.564  0.186
O  0.982  0.767  0.761
V  0.261  0.343  0.143
Pb  0.250  0.844  0.156
O  0.844  0.922  0.305
O  0.671  0.186  0.564
O  0.344  0.305  0.922
O  0.156  0.078  0.695
O  0.329  0.814  0.436
V  0.739  0.657  0.857
O  0.656  0.695  0.078
V  0.761  0.143  0.343
In  0.750  0.629  0.371
Pb  0.750  0.156  0.844
O  0.518  0.239  0.233
O  0.482  0.761  0.767
In  0.250  0.371  0.629
O  0.829  0.436  0.814
V  0.239  0.857  0.657